Record 1
! ReMo2PdCl GGA-PBE optimized geometry; values from VASP
! raw total energy	-0.4872	Ry per atom
! size of the total moment	2.198	μB/cell
&SYSTEM
  ibrav = 0, nat = 5, ntyp = 4
/
ATOMIC_SPECIES
Re 186.21 Re.upf
Mo 95.94 Mo.upf
Pd 106.42 Pd.upf
Cl 35.45 Cl.upf
CELL_PARAMETERS angstrom
4.7936 0.0000 0.0000
0.0000 4.7936 0.0000
0.0000 0.0000 4.9195
ATOMIC_POSITIONS crystal
Re 0.0000 0.0000 0.0000
Mo 0.0000 0.5000 0.0000
Mo 0.5000 0.0000 0.0000
Pd 0.0000 0.0000 0.5000
Cl 0.5000 0.5000 0.5000

Record 2
! SiMo2PdCl GGA-PBE optimized geometry; values from VASP
! raw total energy	-0.3967	Ry per atom
! size of the total moment	0.017	μB/cell
&SYSTEM
  ibrav = 0, nat = 5, ntyp = 4
/
ATOMIC_SPECIES
Si 28.09 Si.upf
Mo 95.94 Mo.upf
Pd 106.42 Pd.upf
Cl 35.45 Cl.upf
CELL_PARAMETERS angstrom
4.6212 0.0000 0.0000
0.0000 4.6212 0.0000
0.0000 0.0000 4.5737
ATOMIC_POSITIONS crystal
Si 0.0000 0.0000 0.0000
Mo 0.0000 0.5000 0.0000
Mo 0.5000 0.0000 0.0000
Pd 0.5000 0.5000 0.5000
Cl 0.0000 0.0000 0.5000

Record 3
! SiMoPdCl2 GGA-PBE optimized geometry; values from VASP
! raw total energy	-0.3318	Ry per atom
! size of the total moment	0.000	μB/cell
&SYSTEM
  ibrav = 0, nat = 5, ntyp = 4
/
ATOMIC_SPECIES
Si 28.09 Si.upf
Mo 95.94 Mo.upf
Pd 106.42 Pd.upf
Cl 35.45 Cl.upf
CELL_PARAMETERS angstrom
4.6157 0.0000 0.0000
0.0000 4.6157 0.0000
0.0000 0.0000 5.1012
ATOMIC_POSITIONS crystal
Si 0.0000 0.0000 0.0000
Mo 0.0000 0.0000 0.5000
Pd 0.5000 0.5000 0.0000
Cl 0.0000 0.5000 0.5000
Cl 0.5000 0.0000 0.5000

Record 4
! TeMoPdCl2 GGA-PBE optimized geometry; values from VASP
! raw total energy	-0.2476	Ry per atom
! size of the total moment	0.331	μB/cell
&SYSTEM
  ibrav = 0, nat = 5, ntyp = 4
/
ATOMIC_SPECIES
Te 127.60 Te.upf
Mo 95.94 Mo.upf
Pd 106.42 Pd.upf
Cl 35.45 Cl.upf
CELL_PARAMETERS angstrom
5.3999 0.0000 0.0000
0.0000 5.3999 0.0000
0.0000 0.0000 5.1336
ATOMIC_POSITIONS crystal
Te 0.0000 0.0000 0.0000
Mo 0.0000 0.0000 0.5000
Pd 0.5000 0.5000 0.5000
Cl 0.0000 0.5000 0.0000
Cl 0.5000 0.0000 0.0000

Record 5
! VMo2PdCl GGA-PBE optimized geometry; values from VASP
! raw total energy	-0.4157	Ry per atom
! size of the total moment	2.031	μB/cell
&SYSTEM
  ibrav = 0, nat = 5, ntyp = 4
/
ATOMIC_SPECIES
V 50.94 V.upf
Mo 95.94 Mo.upf
Pd 106.42 Pd.upf
Cl 35.45 Cl.upf
CELL_PARAMETERS angstrom
4.8629 0.0000 0.0000
0.0000 4.8629 0.0000
0.0000 0.0000 4.6520
ATOMIC_POSITIONS crystal
V 0.0000 0.0000 0.0000
Mo 0.0000 0.5000 0.5000
Mo 0.5000 0.0000 0.5000
Pd 0.0000 0.0000 0.5000
Cl 0.5000 0.5000 0.0000

Record 6
! MoPt2Cl GGA-PBE optimized geometry; values from VASP
! raw total energy	-0.4244	Ry per atom
! size of the total moment	0.000	μB/cell
&SYSTEM
  ibrav = 0, nat = 4, ntyp = 3
/
ATOMIC_SPECIES
Mo 95.94 Mo.upf
Pt 195.08 Pt.upf
Cl 35.45 Cl.upf
CELL_PARAMETERS angstrom
0.0000 3.1707 3.1707
3.1707 0.0000 3.1707
3.1707 3.1707 0.0000
ATOMIC_POSITIONS crystal
Mo 0.0000 0.0000 0.0000
Pt 0.2500 0.2500 0.2500
Pt 0.5000 0.5000 0.5000
Cl 0.7500 0.7500 0.7500